MnCl2 | the Alexandria database | PBE | relaxed; total energy = -0.1822 Ha/atom; magnetic moment = 5.0 μB/f.u.; formation energy (no corrections) = -0.67 eV per atom
1.0
-3.088 3.088 3.170
3.088 -3.088 3.170
3.088 3.088 -3.170
Mn Cl
2 4
Direct
0.250 0.250 0.000
0.750 0.750 0.000
0.188 0.688 0.876
0.312 0.188 0.500
0.688 0.812 0.500
0.812 0.312 0.124


DyYLu2 | the Alexandria database | PBE | relaxed; total energy = -0.1836 Ha/atom; magnetic moment = 0.0 μB/f.u.; formation energy = 0.03 eV/atom
1.0
3.514 0.000 0.000
0.000 3.514 0.000
0.000 0.000 9.904
Dy Y Lu
1 1 2
Direct
0.000 0.000 0.000
0.000 0.000 0.500
0.500 0.500 0.248
0.500 0.500 0.752


HgH | the Alexandria database | PBE | relaxed; total energy = -0.0475 Ha/atom; magnetic moment = 0.0 μB/f.u.
1.0
0.000 2.490 2.490
2.490 0.000 2.490
2.490 2.490 0.000
Hg H
1 1
Direct
0.000 0.000 0.000
0.250 0.250 0.250


MgIr2Au | the Alexandria database | PBE | relaxed; total energy = -0.2035 Ha/atom; magnetic moment = 1.1 μB/f.u.; formation energy = 0.11 eV/atom
1.0
0.000 3.175 3.175
3.175 0.000 3.175
3.175 3.175 0.000
Mg Ir Au
1 2 1
Direct
0.000 0.000 0.000
0.250 0.250 0.250
0.500 0.500 0.500
0.750 0.750 0.750


P3Cl2 | the Alexandria database | PBE | relaxed; total energy = -0.1285 Ha/atom; magnetic moment = 3.0 μB/f.u.; formation energy (no corrections) = 0.49 eV per atom
1.0
4.259 0.000 0.000
-2.129 3.688 0.000
0.000 0.000 10.694
P Cl
3 2
Direct
0.000 0.000 0.000
0.333 0.667 0.506
0.667 0.333 0.494
0.333 0.667 0.699
0.667 0.333 0.301


MgTlFeSn2 | the Alexandria database | PBE | relaxed; total energy = -0.1466 Ha/atom; magnetic moment = 1.1 μB/f.u.; formation energy = 0.10 eV/atom
1.0
4.946 0.000 0.000
0.000 4.946 0.000
0.000 0.000 5.091
Mg Tl Fe Sn
1 1 1 2
Direct
0.000 0.000 0.000
0.500 0.500 0.000
0.000 0.000 0.500
0.000 0.500 0.500
0.500 0.000 0.500


Er5In2Ir2Pt | the Alexandria database | PBE | relaxed; total energy = -0.2196 Ha/atom; magnetic moment = 0.0 μB/f.u.; formation energy = -0.77 eV/atom
1.0
11.542 0.000 0.000
0.000 11.542 0.000
0.000 0.000 3.574
Er In Ir Pt
10 4 4 2
Direct
0.000 0.500 0.000
0.070 0.196 0.000
0.196 0.930 0.000
0.304 0.430 0.000
0.430 0.696 0.000
0.500 0.000 0.000
0.570 0.304 0.000
0.696 0.570 0.000
0.804 0.070 0.000
0.930 0.804 0.000
0.175 0.675 0.500
0.325 0.175 0.500
0.675 0.825 0.500
0.825 0.325 0.500
0.136 0.364 0.500
0.364 0.864 0.500
0.636 0.136 0.500
0.864 0.636 0.500
0.000 0.000 0.500
0.500 0.500 0.500


TiCo3B | the Alexandria database | PBE | relaxed; total energy = -0.2758 Ha/atom; magnetic moment = 0.0 μB/f.u.; formation energy = -0.33 eV/atom
1.0
3.783 0.000 0.000
0.000 3.783 0.000
0.000 0.000 3.783
Ti Co B
1 3 1
Direct
0.000 0.000 0.000
0.000 0.500 0.500
0.500 0.000 0.500
0.500 0.500 0.000
0.500 0.500 0.500


SrSiOs3 | the Alexandria database | PBE | relaxed; total energy = -0.2692 Ha/atom; magnetic moment = 1.2 μB/f.u.; formation energy (no corrections) = 0.83 eV per atom
1.0
4.556 0.000 0.000
0.000 4.556 0.000
0.000 0.000 4.556
Sr Si Os
1 1 3
Direct
0.000 0.000 0.000
0.500 0.500 0.500
0.000 0.500 0.500
0.500 0.000 0.500
0.500 0.500 0.000


LaNbGe | the Alexandria database | PBE | relaxed; total energy = -0.2501 Ha/atom; magnetic moment = 0.0 μB/f.u.; formation energy = -0.27 eV/atom
1.0
6.058 0.000 0.000
0.000 3.797 0.000
-1.346 0.000 6.363
La Nb Ge
2 2 2
Direct
0.000 0.000 0.000
0.460 0.500 0.785
0.141 0.000 0.454
0.676 0.000 0.370
0.361 0.500 0.264
0.912 0.500 0.628


PaSn2Pt2 | the Alexandria database | PBE | relaxed; total energy = -0.2422 Ha/atom; magnetic moment = 0.0 μB/f.u.; formation energy = -0.67 eV/atom
1.0
4.997 0.000 0.000
0.000 4.437 0.000
-0.655 0.000 10.460
Pa Sn Pt
2 4 4
Direct
0.206 0.250 0.153
0.794 0.750 0.847
0.249 0.250 0.498
0.287 0.250 0.798
0.713 0.750 0.202
0.751 0.750 0.502
0.233 0.750 0.337
0.295 0.750 0.964
0.705 0.250 0.036
0.767 0.250 0.663


Al2MoOs | the Alexandria database | PBE | relaxed; total energy = -0.2753 Ha/atom; magnetic moment = 0.0 μB/f.u.; formation energy = -0.11 eV/atom
1.0
2.727 -4.196 0.000
2.727 4.196 0.000
-1.043 0.000 2.592
Al Mo Os
2 1 1
Direct
0.000 0.500 0.000
0.500 0.000 0.000
0.000 0.000 0.500
0.500 0.500 0.500


LiLaBr2 | the Alexandria database | PBE | relaxed; total energy = -0.1314 Ha/atom; magnetic moment = 0.0 μB/f.u.; formation energy (no corrections) = -1.03 eV per atom
1.0
-2.480 2.480 4.189
2.480 -2.480 4.189
2.480 2.480 -4.189
Li La Br
1 1 2
Direct
0.000 0.000 0.000
0.500 0.500 0.000
0.250 0.750 0.500
0.750 0.250 0.500


NaAlIn2 | the Alexandria database | PBE | relaxed; total energy = -0.0952 Ha/atom; magnetic moment = 0.0 μB/f.u.; formation energy = 0.04 eV/atom
1.0
4.720 0.000 0.000
0.000 4.720 0.000
0.000 0.000 4.231
Na Al In
1 1 2
Direct
0.000 0.000 0.000
0.500 0.500 0.000
0.000 0.500 0.500
0.500 0.000 0.500


K16ZnCd12 | the Alexandria database | PBE | relaxed; total energy = -0.0384 Ha/atom; magnetic moment = 0.0 μB/f.u.; formation energy = -0.02 eV/atom
1.0
6.615 -8.688 0.000
6.615 8.688 0.000
-5.395 0.000 10.306
K Zn Cd
16 1 12
Direct
0.000 0.000 0.000
0.073 0.310 0.347
0.109 0.724 0.375
0.115 0.338 0.708
0.310 0.073 0.347
0.316 0.697 0.707
0.338 0.115 0.708
0.349 0.349 0.098
0.367 0.713 0.142
0.388 0.988 0.000
0.697 0.316 0.707
0.701 0.701 0.717
0.713 0.367 0.142
0.724 0.109 0.375
0.743 0.743 0.380
0.988 0.388 0.000
0.932 0.932 0.247
0.025 0.657 0.858
0.031 0.850 0.696
0.404 0.583 0.417
0.406 0.406 0.592
0.525 0.895 0.545
0.532 0.532 0.897
0.583 0.404 0.417
0.657 0.025 0.858
0.669 0.856 0.035
0.850 0.031 0.696
0.856 0.669 0.035
0.895 0.525 0.545


Fe2HgSb2 | the Alexandria database | PBE | relaxed; total energy = -0.1707 Ha/atom; magnetic moment = 0.0 μB/f.u.; formation energy (no corrections) = 0.45 eV per atom
1.0
-2.182 2.182 5.346
2.182 -2.182 5.346
2.182 2.182 -5.346
Fe Hg Sb
2 1 2
Direct
0.250 0.750 0.500
0.750 0.250 0.500
0.000 0.000 0.000
0.364 0.364 0.000
0.636 0.636 0.000


FeTeBr2 | the Alexandria database | PBE | relaxed; total energy = -0.1346 Ha/atom; magnetic moment = 0.4 μB/f.u.; formation energy (no corrections) = 0.07 eV per atom
1.0
1.726 0.997 10.002
-1.726 0.997 10.002
0.000 -1.993 10.002
Fe Te Br
1 1 2
Direct
0.000 0.000 0.000
0.500 0.500 0.500
0.288 0.288 0.288
0.712 0.712 0.712


Sr2MgZn2 | the Alexandria database | PBE | relaxed; total energy = -0.0548 Ha/atom; magnetic moment = 0.0 μB/f.u.; formation energy = 0.01 eV/atom
1.0
-2.010 2.010 9.858
2.010 -2.010 9.858
2.010 2.010 -9.858
Sr Mg Zn
2 1 2
Direct
0.116 0.116 0.000
0.884 0.884 0.000
0.500 0.500 0.000
0.250 0.750 0.500
0.750 0.250 0.500


KSr3Ti | the Alexandria database | PBE | relaxed; total energy = -0.0824 Ha/atom; magnetic moment = 3.6 μB/f.u.; formation energy = 0.57 eV/atom
1.0
6.514 0.000 0.000
0.000 6.514 0.000
0.000 0.000 6.514
K Sr Ti
1 3 1
Direct
0.000 0.000 0.000
0.000 0.500 0.500
0.500 0.000 0.500
0.500 0.500 0.000
0.500 0.500 0.500


CeCuPdAu | the Alexandria database | PBE | relaxed; total energy = -0.1846 Ha/atom; magnetic moment = 0.7 μB/f.u.; formation energy = -0.40 eV/atom
1.0
0.000 3.373 3.373
3.373 0.000 3.373
3.373 3.373 0.000
Ce Cu Pd Au
1 1 1 1
Direct
0.000 0.000 0.000
0.250 0.250 0.250
0.750 0.750 0.750
0.500 0.500 0.500